# NiSeN2F

An optimized crystal structure of NiSeN2F (PBE+U, Alexandria via LeMat-Bulk).

```
NiSeN2F
1.0
-1.623 3.479 0.529
-1.578 -1.240 3.315
3.008 1.121 1.852
Ni Se F N
1 1 1 2
Direct
0.000 0.000 0.000 Ni
0.500 0.500 0.500 Se
0.000 0.000 0.500 F
0.500 0.000 0.000 N
0.000 0.500 0.000 N
```

Calculated values
Energy relative to the lowest polymorph listed for this composition in meV/atom: 0
Total magnetization in μB/cell: 0.96
E_tot in eV/atom: -3.8959

# LiVBO4

An optimized crystal structure of LiVBO4 (PBE+U, Alexandria via LeMat-Bulk).

```
LiVBO4
1.0
-5.180 -4.876 -6.390
3.838 -3.410 6.645
-4.273 0.781 2.869
O B Li V
16 4 4 4
Direct
0.189 0.666 0.231 O
0.477 0.666 0.731 O
0.920 0.688 0.501 O
0.805 0.071 0.107 O
0.195 0.929 0.107 O
0.811 0.334 0.231 O
0.475 0.282 0.273 O
0.265 0.071 0.607 O
0.193 0.717 0.773 O
0.525 0.718 0.273 O
0.735 0.929 0.607 O
0.768 0.688 0.001 O
0.080 0.312 0.501 O
0.523 0.334 0.731 O
0.807 0.283 0.773 O
0.232 0.312 0.001 O
0.194 0.769 0.020 B
0.425 0.231 0.520 B
0.806 0.231 0.020 B
0.575 0.769 0.520 B
0.228 0.502 0.768 Li
0.726 0.498 0.268 Li
0.772 0.498 0.768 Li
0.274 0.502 0.268 Li
0.674 0.804 0.967 V
0.326 0.196 0.967 V
0.869 0.196 0.467 V
0.131 0.804 0.467 V
```

Calculated values
Energy relative to the lowest polymorph listed for this composition in meV/atom: 23
Total magnetization in μB/cell: 4.00
E_tot in eV/atom: -7.2956